{"formula": "Ho3Tm3Th2", "functional": "PBE", "state": "relaxed", "lattice_angstrom": [[4.450, 2.569, 3.629], [-4.450, 2.569, 3.629], [0.000, -5.139, 3.629]], "species": ["Ho", "Ho", "Ho", "Tm", "Tm", "Tm", "Th", "Th"], "fractional_positions": [[0.000, 0.251, 0.749], [0.251, 0.749, 0.000], [0.749, 0.000, 0.251], [0.251, 0.749, 0.500], [0.500, 0.251, 0.749], [0.749, 0.500, 0.251], [0.249, 0.249, 0.249], [0.751, 0.751, 0.751]], "polymorph_energy_mev_per_atom": 183, "total_magnetization_mub_per_fu": 0.0, "e_form_ev_per_atom": 0.205, "energy_ev_per_atom": -5.043}